<a>
Entry from the Alexandria database: a relaxed structure of Li3ZnW (PBE-GGA).

a b c (Å): 4.281 4.281 4.281
angles (deg): 90.00 90.00 90.00
Positions (direct):
Li 0.000 0.000 0.500
Li 0.000 0.500 0.000
Li 0.500 0.000 0.000
Zn 0.000 0.000 0.000
W 0.500 0.500 0.500

Size of the total moment in μB per formula unit: 1.1
N(E_F) in states/eV/f.u.: 2.13

---

<b>
Entry from the Alexandria database: a relaxed structure of Li3ZnW (PBE-GGA).

a b c (Å): 5.045 5.045 5.045
angles (deg): 90.00 90.00 90.00
Positions (direct):
Li 0.000 0.000 0.500
Li 0.000 0.500 0.000
Li 0.500 0.000 0.000
Zn 0.500 0.500 0.500
W 0.000 0.000 0.000

Size of the total moment in μB per formula unit: 3.9
N(E_F) in states/eV/f.u.: 3.41

---

Energy ordering: <a> at the bottom, the next structure 317 meV per atom above.

---

<a>
Entry from the Alexandria database: a relaxed structure of LiZrW2 (PBE-GGA).

a b c (Å): 3.348 3.348 5.922
angles (deg): 90.00 90.00 90.00
Positions (direct):
Li 0.000 0.000 0.000
Zr 0.000 0.000 0.500
W 0.500 0.500 0.208
W 0.500 0.500 0.792

Size of the total moment in μB per formula unit: 0.0
N(E_F) in states/eV/f.u.: 4.00

---

<b>
Entry from the Alexandria database: a relaxed structure of LiZrW2 (PBE-GGA).

a b c (Å): 2.712 4.484 5.797
angles (deg): 90.00 99.91 90.00
Positions (direct):
Li 0.000 0.000 0.000
Zr 0.287 0.500 0.736
W 0.578 0.000 0.456
W 0.790 0.500 0.251

Size of the total moment in μB per formula unit: 0.0
N(E_F) in states/eV/f.u.: 3.11

---

<c>
Entry from the Alexandria database: a relaxed structure of LiZrW2 (PBE-GGA).

a b c (Å): 2.763 2.763 9.913
angles (deg): 90.00 90.00 112.82
Positions (direct):
Li 0.000 0.000 0.000
Zr 0.000 0.000 0.500
W 0.500 0.500 0.246
W 0.500 0.500 0.754

Size of the total moment in μB per formula unit: 0.0
N(E_F) in states/eV/f.u.: 3.40

---

<d>
Entry from the Alexandria database: a relaxed structure of LiZrW2 (PBE-GGA).

a b c (Å): 4.566 4.566 4.566
angles (deg): 60.00 60.00 60.00
Positions (direct):
Li 0.000 0.000 0.000
Zr 0.750 0.750 0.750
W 0.250 0.250 0.250
W 0.500 0.500 0.500

Size of the total moment in μB per formula unit: 0.0
N(E_F) in states/eV/f.u.: 3.17

---

Energy ordering: <d> at the bottom, the next structure 44 meV per atom above.

---

<a>
Entry from the Alexandria database: a relaxed structure of LiZrW3 (PBE-GGA).

a b c (Å): 4.366 4.366 4.366
angles (deg): 90.00 90.00 90.00
Positions (direct):
Li 0.000 0.000 0.000
Zr 0.500 0.500 0.500
W 0.000 0.000 0.500
W 0.000 0.500 0.000
W 0.500 0.000 0.000

Size of the total moment in μB per formula unit: 0.0
N(E_F) in states/eV/f.u.: 6.61

---

<b>
Entry from the Alexandria database: a relaxed structure of LiZrW3 (PBE-GGA).

a b c (Å): 4.867 4.867 4.867
angles (deg): 90.00 90.00 90.00
Positions (direct):
Li 0.000 0.000 0.000
Zr 0.500 0.500 0.500
W 0.000 0.500 0.500
W 0.500 0.000 0.500
W 0.500 0.500 0.000

Size of the total moment in μB per formula unit: 0.0
N(E_F) in states/eV/f.u.: 4.85

---

Energy ordering: <a> at the bottom, the next structure 1197 meV per atom above.